No. 1
A relaxed structure of Ce3DyOs. Source: the Alexandria database, functional GGA-PBE.

Lattice parameters (Å, degrees): 7.283 6.264 6.299 90.00 90.00 90.00
Sites, in units of the cell vectors:
1 Ce 0.000 0.094 0.000
2 Ce 0.238 0.716 0.000
3 Ce 0.262 0.284 0.500
4 Ce 0.500 0.906 0.500
5 Ce 0.738 0.284 0.500
6 Ce 0.762 0.716 0.000
7 Dy 0.000 0.803 0.493
8 Dy 0.500 0.197 0.993
9 Os 0.000 0.451 0.764
10 Os 0.500 0.549 0.264

- SG = Pmn2_1

***

No. 2
A relaxed structure of Ce3DyOs8. Source: the Alexandria database, functional GGA-PBE.

Lattice parameters (Å, degrees): 9.334 9.334 9.334 33.54 33.54 33.54
Sites, in units of the cell vectors:
1 Ce 0.000 0.000 0.000
2 Ce 0.125 0.125 0.125
3 Ce 0.626 0.626 0.626
4 Dy 0.501 0.501 0.501
5 Os 0.063 0.063 0.561
6 Os 0.063 0.561 0.063
7 Os 0.065 0.563 0.563
8 Os 0.313 0.313 0.313
9 Os 0.561 0.063 0.063
10 Os 0.563 0.065 0.563
11 Os 0.563 0.563 0.065
12 Os 0.813 0.813 0.813

- SG = R3m

***

| no. | formation energy from the elements (kJ per mole of atoms) | DFT total energy (eV/cell) |
| --- | --- | --- |
| 1 | 3 | -66.925 |
| 2 | -24 | -115.205 |